## A
GaFe2Br | PBE | optimized geometry

Cell and atoms, written as POSCAR:
```
GaFe2Br
1.0
-3.473 3.473 2.919
3.473 -3.473 2.919
3.473 3.473 -2.919
Ga Fe Br
2 4 2
Direct
0.000 0.000 0.000 Ga
0.750 0.250 0.500 Ga
0.121 0.625 0.996 Fe
0.375 0.371 0.496 Fe
0.629 0.125 0.004 Fe
0.875 0.879 0.504 Fe
0.250 0.750 0.500 Br
0.500 0.500 0.000 Br
```

## B
GaFe2Br | PBE | optimized geometry

Cell and atoms, written as POSCAR:
```
GaFe2Br
1.0
0.000 3.065 3.065
3.065 0.000 3.065
3.065 3.065 0.000
Ga Fe Br
1 2 1
Direct
0.000 0.000 0.000 Ga
0.250 0.250 0.250 Fe
0.750 0.750 0.750 Fe
0.500 0.500 0.500 Br
```

Which is most stable, and by how much? B, by 0.010 eV/atom.

## A
GaFe3Br | PBE | optimized geometry

Cell and atoms, written as POSCAR:
```
GaFe3Br
1.0
4.348 0.000 0.000
0.000 4.348 0.000
0.000 0.000 4.348
Ga Fe Br
1 3 1
Direct
0.000 0.000 0.000 Ga
0.000 0.500 0.500 Fe
0.500 0.000 0.500 Fe
0.500 0.500 0.000 Fe
0.500 0.500 0.500 Br
```

## B
GaFe3Br | PBE | optimized geometry

Cell and atoms, written as POSCAR:
```
GaFe3Br
1.0
4.560 0.000 0.000
0.000 4.560 0.000
0.000 0.000 4.560
Ga Fe Br
1 3 1
Direct
0.000 0.000 0.000 Ga
0.000 0.000 0.500 Fe
0.000 0.500 0.000 Fe
0.500 0.000 0.000 Fe
0.500 0.500 0.500 Br
```

Which is most stable, and by how much? A, by 0.019 eV/atom.

## A
GaFeSeBr2 | PBE | optimized geometry

Cell and atoms, written as POSCAR:
```
GaFeSeBr2
1.0
5.032 0.000 0.000
0.000 5.032 0.000
0.000 0.000 5.034
Ga Fe Se Br
1 1 1 2
Direct
0.000 0.000 0.000 Ga
0.500 0.500 0.500 Fe
0.000 0.000 0.500 Se
0.000 0.500 0.000 Br
0.500 0.000 0.000 Br
```

## B
GaFeSeBr2 | PBE | optimized geometry

Cell and atoms, written as POSCAR:
```
GaFeSeBr2
1.0
5.253 0.000 0.000
0.000 5.253 0.000
0.000 0.000 4.764
Ga Fe Se Br
1 1 1 2
Direct
0.000 0.000 0.000 Ga
0.500 0.500 0.500 Fe
0.500 0.500 0.000 Se
0.000 0.500 0.500 Br
0.500 0.000 0.500 Br
```

Which is most stable, and by how much? B, by 0.525 eV/atom.

## A
FeGe2Br | PBE | optimized geometry

Cell and atoms, written as POSCAR:
```
FeGe2Br
1.0
0.000 3.391 3.391
3.391 0.000 3.391
3.391 3.391 0.000
Fe Ge Br
1 2 1
Direct
0.000 0.000 0.000 Fe
0.250 0.250 0.250 Ge
0.750 0.750 0.750 Ge
0.500 0.500 0.500 Br
```

## B
FeGe2Br | PBE | optimized geometry

Cell and atoms, written as POSCAR:
```
FeGe2Br
1.0
-2.946 2.946 5.839
2.946 -2.946 5.839
2.946 2.946 -5.839
Fe Ge Br
2 4 2
Direct
0.000 0.000 0.000 Fe
0.750 0.250 0.500 Fe
0.024 0.625 0.899 Ge
0.375 0.274 0.399 Ge
0.726 0.125 0.101 Ge
0.875 0.976 0.601 Ge
0.250 0.750 0.500 Br
0.500 0.500 0.000 Br
```

Which is most stable, and by how much? B, by 0.374 eV/atom.

## A
FeGe3Br | PBE | optimized geometry

Cell and atoms, written as POSCAR:
```
FeGe3Br
1.0
4.712 0.000 0.000
0.000 4.712 0.000
0.000 0.000 4.712
Fe Ge Br
1 3 1
Direct
0.000 0.000 0.000 Fe
0.000 0.000 0.500 Ge
0.000 0.500 0.000 Ge
0.500 0.000 0.000 Ge
0.500 0.500 0.500 Br
```

## B
FeGe3Br | PBE | optimized geometry

Cell and atoms, written as POSCAR:
```
FeGe3Br
1.0
5.090 0.000 0.000
0.000 5.090 0.000
0.000 0.000 5.090
Fe Ge Br
1 3 1
Direct
0.000 0.000 0.000 Fe
0.000 0.500 0.500 Ge
0.500 0.000 0.500 Ge
0.500 0.500 0.000 Ge
0.500 0.500 0.500 Br
```

Which is most stable, and by how much? A, by 1.388 eV/atom.

## A
FeGeBr2 | PBE | optimized geometry

Cell and atoms, written as POSCAR:
```
FeGeBr2
1.0
-3.387 3.387 4.926
3.387 -3.387 4.926
3.387 3.387 -4.926
Fe Ge Br
2 2 4
Direct
0.000 0.000 0.000 Fe
0.750 0.250 0.500 Fe
0.250 0.750 0.500 Ge
0.500 0.500 0.000 Ge
0.061 0.625 0.936 Br
0.375 0.311 0.436 Br
0.689 0.125 0.064 Br
0.875 0.939 0.564 Br
```

## B
FeGeBr2 | PBE | optimized geometry

Cell and atoms, written as POSCAR:
```
FeGeBr2
1.0
0.000 3.481 3.481
3.481 0.000 3.481
3.481 3.481 0.000
Fe Ge Br
1 1 2
Direct
0.000 0.000 0.000 Fe
0.500 0.500 0.500 Ge
0.250 0.250 0.250 Br
0.750 0.750 0.750 Br
```

Which is most stable, and by how much? A, by 0.101 eV/atom.